(1)
The following is a DFT calculation (PBE) of an optimized crystal structure of NiTe2N.

Cell lengths 8.3059, 8.3059, 8.3059 Å; angles 23.06, 23.06, 23.06 degrees
Element x y z (fractional)
Ni  0.0000  0.0000  0.0000
Te  0.1004  0.1004  0.1004
Te  0.8996  0.8996  0.8996
N  0.5000  0.5000  0.5000

Properties
- E (eV/atom) = -4.017

=====

(2)
The following is a DFT calculation (PBE) of an optimized crystal structure of NiTe2N2.

Cell lengths 5.1760, 5.1760, 3.3587 Å; angles 90.00, 90.00, 90.00 degrees
Element x y z (fractional)
Ni  0.0000  0.0000  0.0000
Te  0.0000  0.5000  0.0000
Te  0.5000  0.0000  0.0000
N  0.0000  0.0000  0.5000
N  0.5000  0.5000  0.5000

Properties
- relative energy among the computed polymorphs (meV/atom) = 4.4
- E (eV/atom) = -4.364

=====

(3)
The following is a DFT calculation (PBE) of an optimized crystal structure of Ni3TeN.

Cell lengths 4.7472, 4.7472, 4.7472 Å; angles 90.00, 90.00, 90.00 degrees
Element x y z (fractional)
Ni  0.0000  0.0000  0.5000
Ni  0.0000  0.5000  0.0000
Ni  0.5000  0.0000  0.0000
Te  0.0000  0.0000  0.0000
N  0.5000  0.5000  0.5000

Properties
- relative energy among the computed polymorphs (meV/atom) = 1652.5
- E (eV/atom) = -3.960

=====

(4)
The following is a DFT calculation (PBE) of an optimized crystal structure of NiTeN2.

Cell lengths 6.3642, 6.3642, 6.3642 Å; angles 28.03, 28.03, 28.03 degrees
Element x y z (fractional)
Ni  0.0000  0.0000  0.0000
Te  0.5000  0.5000  0.5000
N  0.3815  0.3815  0.3815
N  0.6185  0.6185  0.6185

Properties
- E (eV/atom) = -5.602

=====

no.,raw formation energy (eV per atom)
1,1.080
2,1.379
3,1.802
4,0.791